<w>
Below is a relaxed ReTeRhI2 crystal, with properties calculated at the PBE level.

a = 5.5413 Å, b = 5.5413 Å, c = 5.0399 Å
α = 90.00°, β = 90.00°, γ = 90.00°
With the nearest neighbours (Å) after each atom.
Fractional positions:
Re (0.0000, 0.0000, 0.0000)  2 Te 2.52, 4 I 2.77
Te (0.0000, 0.0000, 0.5000)  2 Re 2.52
Rh (0.5000, 0.5000, 0.5000)  8 I 3.75, 4 Te 3.92
I (0.0000, 0.5000, 0.0000)  2 Re 2.77
I (0.5000, 0.0000, 0.0000)  2 Re 2.77

<x>
Below is a relaxed ReTeRhI2 crystal, with properties calculated at the PBE level.

a = 5.3436 Å, b = 5.3436 Å, c = 5.3153 Å
α = 90.00°, β = 90.00°, γ = 90.00°
With the nearest neighbours (Å) after each atom.
Fractional positions:
Re (0.0000, 0.0000, 0.0000)  8 I 3.77, 4 Te 3.78
Te (0.5000, 0.5000, 0.0000)  2 Rh 2.66
Rh (0.5000, 0.5000, 0.5000)  2 Te 2.66, 4 I 2.67
I (0.0000, 0.5000, 0.5000)  2 Rh 2.67
I (0.5000, 0.0000, 0.5000)  2 Rh 2.67

Stability ranking, top entry: <x>; the second entry is 3.4 kJ/mol of atoms less favorable.

<w>
Below is a relaxed Re2RuI crystal, with properties calculated at the PBE level.

a = 4.5169 Å, b = 4.5169 Å, c = 4.5169 Å
α = 60.00°, β = 60.00°, γ = 60.00°
With the nearest neighbours (Å) after each atom.
Fractional positions:
Re (0.2500, 0.2500, 0.2500)  4 Ru 2.77, 4 I 2.77
Re (0.7500, 0.7500, 0.7500)  4 I 2.77, 4 Ru 2.77
Ru (0.0000, 0.0000, 0.0000)  8 Re 2.77
I (0.5000, 0.5000, 0.5000)  8 Re 2.77

<x>
Below is a relaxed Re2RuI crystal, with properties calculated at the PBE level.

a = 7.0023 Å, b = 7.0023 Å, c = 7.0023 Å
α = 130.89°, β = 130.89°, γ = 71.98°
With the nearest neighbours (Å) after each atom.
Fractional positions:
Re (0.0889, 0.6250, 0.9639)  2 Ru 2.38, 2 I 2.63
Re (0.3750, 0.3389, 0.4639)  2 Ru 2.38, 2 I 2.63
Re (0.6611, 0.1250, 0.0361)  2 Ru 2.38, 2 I 2.63
Re (0.8750, 0.9111, 0.5361)  2 Ru 2.38, 2 I 2.63
Ru (0.0000, 0.0000, 0.0000)  4 Re 2.38
Ru (0.7500, 0.2500, 0.5000)  4 Re 2.38
I (0.2500, 0.7500, 0.5000)  4 Re 2.63
I (0.5000, 0.5000, 0.0000)  4 Re 2.63

Stability ranking, top entry: <w>; the second entry is 33.7 kJ/mol of atoms less favorable.

<w>
Below is a relaxed Re2SI2 crystal, with properties calculated at the PBE level.

a = 5.3587 Å, b = 5.3587 Å, c = 5.3587 Å
α = 118.24°, β = 118.24°, γ = 93.07°
With the nearest neighbours (Å) after each atom.
Fractional positions:
Re (0.1577, 0.1577, 0.0000)  1 Re 2.33, 1 S 2.52
Re (0.8423, 0.8423, 0.0000)  1 Re 2.33, 1 S 2.52
S (0.5000, 0.5000, 0.0000)  2 Re 2.52
I (0.2500, 0.7500, 0.5000)  4 Re 2.83
I (0.7500, 0.2500, 0.5000)  4 Re 2.83

<x>
Below is a relaxed Re2SI2 crystal, with properties calculated at the PBE level.

a = 6.2075 Å, b = 6.2075 Å, c = 5.5723 Å
α = 90.00°, β = 90.00°, γ = 90.00°
With the nearest neighbours (Å) after each atom.
Fractional positions:
Re (0.1446, 0.3554, 0.0000)  2 S 2.38, 1 Re 2.54
Re (0.3554, 0.8554, 0.0000)  2 S 2.38, 1 Re 2.54
Re (0.6446, 0.1446, 0.0000)  2 S 2.38, 1 Re 2.54
Re (0.8554, 0.6446, 0.0000)  2 S 2.38, 1 Re 2.54
S (0.0000, 0.0000, 0.0000)  4 Re 2.38
S (0.5000, 0.5000, 0.0000)  4 Re 2.38
I (0.1811, 0.3189, 0.5000)  2 Re 2.80
I (0.3189, 0.8189, 0.5000)  2 Re 2.80
I (0.6811, 0.1811, 0.5000)  2 Re 2.80
I (0.8189, 0.6811, 0.5000)  2 Re 2.80

Stability ranking, top entry: <x>; the second entry is 24.4 kJ/mol of atoms less favorable.

<w>
Below is a relaxed ReSI3 crystal, with properties calculated at the PBE level.

a = 5.3591 Å, b = 5.3591 Å, c = 5.3591 Å
α = 90.00°, β = 90.00°, γ = 90.00°
With the nearest neighbours (Å) after each atom.
Fractional positions:
Re (0.0000, 0.0000, 0.0000)  6 I 2.68
S (0.5000, 0.5000, 0.5000)  12 I 3.79
I (0.0000, 0.0000, 0.5000)  2 Re 2.68
I (0.0000, 0.5000, 0.0000)  2 Re 2.68
I (0.5000, 0.0000, 0.0000)  2 Re 2.68

<x>
Below is a relaxed ReSI3 crystal, with properties calculated at the PBE level.

a = 5.5919 Å, b = 5.5919 Å, c = 5.5919 Å
α = 90.00°, β = 90.00°, γ = 90.00°
With the nearest neighbours (Å) after each atom.
Fractional positions:
Re (0.0000, 0.0000, 0.0000)  12 I 3.95
S (0.5000, 0.5000, 0.5000)  6 I 2.80
I (0.0000, 0.5000, 0.5000)  2 S 2.80
I (0.5000, 0.0000, 0.5000)  2 S 2.80
I (0.5000, 0.5000, 0.0000)  2 S 2.80

Stability ranking, top entry: <w>; the second entry is 39.1 kJ/mol of atoms less favorable.

<w>
Below is a relaxed ReS3I crystal, with properties calculated at the PBE level.

a = 5.0537 Å, b = 5.0537 Å, c = 5.0537 Å
α = 90.00°, β = 90.00°, γ = 90.00°
With the nearest neighbours (Å) after each atom.
Fractional positions:
Re (0.0000, 0.0000, 0.0000)  12 S 3.57
S (0.0000, 0.5000, 0.5000)  2 I 2.53
S (0.5000, 0.0000, 0.5000)  2 I 2.53
S (0.5000, 0.5000, 0.0000)  2 I 2.53
I (0.5000, 0.5000, 0.5000)  6 S 2.53

<x>
Below is a relaxed ReS3I crystal, with properties calculated at the PBE level.

a = 4.6807 Å, b = 4.6807 Å, c = 4.6807 Å
α = 90.00°, β = 90.00°, γ = 90.00°
With the nearest neighbours (Å) after each atom.
Fractional positions:
Re (0.0000, 0.0000, 0.0000)  6 S 2.34
S (0.0000, 0.0000, 0.5000)  2 Re 2.34
S (0.0000, 0.5000, 0.0000)  2 Re 2.34
S (0.5000, 0.0000, 0.0000)  2 Re 2.34
I (0.5000, 0.5000, 0.5000)  12 S 3.31

Stability ranking, top entry: <x>; the second entry is 150.2 kJ/mol of atoms less favorable.

<w>
Below is a relaxed ReTe2SI crystal, with properties calculated at the PBE level.

a = 5.2483 Å, b = 5.2483 Å, c = 5.5050 Å
α = 90.00°, β = 90.00°, γ = 90.00°
With the nearest neighbours (Å) after each atom.
Fractional positions:
Re (0.0000, 0.0000, 0.0000)  4 I 3.71, 8 Te 3.80
Te (0.0000, 0.5000, 0.5000)  2 S 2.62
Te (0.5000, 0.0000, 0.5000)  2 S 2.62
S (0.5000, 0.5000, 0.5000)  4 Te 2.62, 2 I 2.75
I (0.5000, 0.5000, 0.0000)  2 S 2.75

<x>
Below is a relaxed ReTe2SI crystal, with properties calculated at the PBE level.

a = 5.1539 Å, b = 5.1539 Å, c = 5.4895 Å
α = 90.00°, β = 90.00°, γ = 90.00°
With the nearest neighbours (Å) after each atom.
Fractional positions:
Re (0.0000, 0.0000, 0.0000)  4 Te 2.58, 2 I 2.74
Te (0.0000, 0.5000, 0.0000)  2 Re 2.58
Te (0.5000, 0.0000, 0.0000)  2 Re 2.58
S (0.5000, 0.5000, 0.5000)  4 I 3.64, 8 Te 3.76
I (0.0000, 0.0000, 0.5000)  2 Re 2.74

Stability ranking, top entry: <x>; the second entry is 57.7 kJ/mol of atoms less favorable.

<w>
Below is a relaxed Re2SbI crystal, with properties calculated at the PBE level.

a = 4.6909 Å, b = 4.6909 Å, c = 4.6909 Å
α = 60.00°, β = 60.00°, γ = 60.00°
With the nearest neighbours (Å) after each atom.
Fractional positions:
Re (0.2500, 0.2500, 0.2500)  4 I 2.87, 4 Sb 2.87
Re (0.7500, 0.7500, 0.7500)  4 Sb 2.87, 4 I 2.87
Sb (0.0000, 0.0000, 0.0000)  8 Re 2.87
I (0.5000, 0.5000, 0.5000)  8 Re 2.87

<x>
Below is a relaxed Re2SbI crystal, with properties calculated at the PBE level.

a = 7.2174 Å, b = 7.2174 Å, c = 7.2174 Å
α = 130.47°, β = 130.47°, γ = 72.66°
With the nearest neighbours (Å) after each atom.
Fractional positions:
Re (0.1184, 0.6250, 0.9934)  2 I 2.56, 2 Sb 2.61
Re (0.3750, 0.3684, 0.4934)  2 I 2.56, 2 Sb 2.61
Re (0.6316, 0.1250, 0.0066)  2 I 2.56, 2 Sb 2.61
Re (0.8750, 0.8816, 0.5066)  2 I 2.56, 2 Sb 2.61
Sb (0.2500, 0.7500, 0.5000)  4 Re 2.61
Sb (0.5000, 0.5000, 0.0000)  4 Re 2.61
I (0.0000, 0.0000, 0.0000)  4 Re 2.56
I (0.7500, 0.2500, 0.5000)  4 Re 2.56

Stability ranking, top entry: <w>; the second entry is 38.4 kJ/mol of atoms less favorable.